Below is an optimized crystal structure of BaScTl, with properties calculated at the PBE level.

## Properties
ΔE_f   -0.1 eV/f.u.
Volume   34.549 A^3/atom

a = 5.3365 Å, b = 5.3365 Å, c = 4.2027 Å
α = 90.00°, β = 90.00°, γ = 120.00°
Closest atoms and distances in Å follow each position.
Sites, in units of the cell vectors:
Tl 0.3333 0.6667 0.5002  3 Sc 3.08
Sc 0.6667 0.3333 0.4998  3 Tl 3.08
Ba 0.0000 0.0000 0.0000  6 Sc 3.73, 6 Tl 3.73